# 1
This record from Alexandria describes crystalline Er7TlCo5 at its relaxed geometry. The functional is PBE.

a = 5.564 Å, b = 10.265 Å, c = 9.648 Å
α = 90.00°, β = 90.00°, γ = 90.00°
Space group Imm2 (No. 44)
Symmetry-distinct sites (fractional):
Er  0.000  0.000  0.000 (multiplicity 2)
Er  0.000  0.000  0.356 (multiplicity 2)
Er  0.000  0.313  0.629 (multiplicity 4)
Er  0.000  0.340  0.026 (multiplicity 4)
Er  0.000  0.500  0.322 (multiplicity 2)
Tl  0.000  0.000  0.681 (multiplicity 2)
Co  0.000  0.500  0.813 (multiplicity 2)
Co  0.220  0.279  0.356 (multiplicity 8)

Output
- crystal system = orthorhombic
- energy of formation (eV/atom) = -0.077
- electronic total energy (eV/atom) = -5.45
- calculated volume (Å³ per atom) = 21.2

# 2
This record from Alexandria describes crystalline K2Cd4InAg3 at its relaxed geometry. The functional is PBE.

a = 4.769 Å, b = 4.769 Å, c = 12.229 Å
α = 90.00°, β = 90.00°, γ = 90.00°
Space group P-4m2 (No. 115)
Symmetry-distinct sites (fractional):
K  0.000  0.500  0.245 (multiplicity 2)
Cd  0.000  0.000  0.000 (multiplicity 1)
Cd  0.000  0.500  0.640 (multiplicity 2)
Cd  0.500  0.500  0.000 (multiplicity 1)
In  0.000  0.000  0.500 (multiplicity 1)
Ag  0.000  0.500  0.868 (multiplicity 2)
Ag  0.500  0.500  0.500 (multiplicity 1)

Output
- crystal system = tetragonal
- energy of formation (eV/atom) = -0.040
- electronic total energy (eV/atom) = -1.75
- calculated volume (Å³ per atom) = 27.8